Computed, not measured: an optimized crystal structure of Cs3Tl2InBr6 at the PBE level of DFT.

a = 8.6480 Å, b = 14.9810 Å, c = 8.6212 Å
α = 90.00°, β = 109.53°, γ = 90.00°
Space group C2/m (No. 12)
Asymmetric unit:
Cs (0.0000, 0.0000, 0.0000) [2 per cell]
Cs (0.0000, 0.3330, 0.0000) [4 per cell]
Tl (0.0000, 0.1665, 0.5000) [4 per cell]
In (0.0000, 0.5000, 0.5000) [2 per cell]
Br (0.2416, 0.3340, 0.7272) [8 per cell]
Br (0.2441, 0.0000, 0.7279) [4 per cell]

Computed properties:
**Crystal system**: monoclinic

***

Computed, not measured: an optimized crystal structure of CsTl2InBr4 at the PBE level of DFT.

a = 8.4409 Å, b = 4.8806 Å, c = 8.4423 Å
α = 90.00°, β = 109.42°, γ = 90.00°
Space group P2/m (No. 10)
Asymmetric unit:
Cs (0.0000, 0.0000, 0.0000) [1 per cell]
Tl (0.0000, 0.5000, 0.5000) [1 per cell]
Tl (0.5000, 0.0000, 0.5000) [1 per cell]
In (0.5000, 0.5000, 0.0000) [1 per cell]
Br (0.2579, 0.0000, 0.7447) [2 per cell]
Br (0.2656, 0.5000, 0.2627) [2 per cell]

Computed properties:
**Crystal system**: monoclinic

***

Computed, not measured: an optimized crystal structure of Cs2TmInBr6 at the PBE level of DFT.

a = 8.2225 Å, b = 8.5163 Å, c = 14.3919 Å
α = 90.00°, β = 124.73°, γ = 90.00°
Space group P2_1/c (No. 14)
Asymmetric unit:
Cs (0.2338, 0.0596, 0.2506) [4 per cell]
Tm (0.5000, 0.0000, 0.0000) [2 per cell]
In (0.0000, 0.0000, 0.5000) [2 per cell]
Br (0.1882, 0.1835, 0.9630) [4 per cell]
Br (0.2815, 0.7285, 0.9628) [4 per cell]
Br (0.3441, 0.0134, 0.7708) [4 per cell]

Computed properties:
**Crystal system**: monoclinic

***

Computed, not measured: an optimized crystal structure of Cs2VInBr6 at the PBE level of DFT.

a = 11.4112 Å, b = 11.4112 Å, c = 11.4112 Å
α = 90.00°, β = 90.00°, γ = 90.00°
Space group Fm-3m (No. 225)
Asymmetric unit:
Cs (0.2500, 0.2500, 0.2500) [8 per cell]
V (0.0000, 0.0000, 0.0000) [4 per cell]
In (0.0000, 0.0000, 0.5000) [4 per cell]
Br (0.0000, 0.0000, 0.2253) [24 per cell]

Computed properties:
**Crystal system**: cubic

***

Computed, not measured: an optimized crystal structure of CsV2InBr8 at the PBE level of DFT.

a = 7.2498 Å, b = 7.2498 Å, c = 31.3611 Å
α = 90.00°, β = 90.00°, γ = 120.00°
Space group R-3 (No. 148, hexagonal axes)
Asymmetric unit:
Cs (0.0000, 0.0000, 0.0000) [3 per cell]
V (0.0000, 0.0000, 0.2537) [6 per cell]
In (0.0000, 0.0000, 0.5000) [3 per cell]
Br (0.0000, 0.0000, 0.3296) [6 per cell]
Br (0.0039, 0.3743, 0.4372) [18 per cell]

Computed properties:
**Crystal system**: trigonal

***

Computed, not measured: an optimized crystal structure of Cs2InWBr6 at the PBE level of DFT.

a = 11.5194 Å, b = 11.5194 Å, c = 11.5194 Å
α = 90.00°, β = 90.00°, γ = 90.00°
Space group Fm-3m (No. 225)
Asymmetric unit:
Cs (0.2500, 0.2500, 0.2500) [8 per cell]
In (0.0000, 0.0000, 0.0000) [4 per cell]
W (0.0000, 0.0000, 0.5000) [4 per cell]
Br (0.0000, 0.0000, 0.2731) [24 per cell]

Computed properties:
**Crystal system**: cubic

***

Computed, not measured: an optimized crystal structure of Cs2YInBr6 at the PBE level of DFT.

a = 8.2462 Å, b = 8.5815 Å, c = 14.4284 Å
α = 90.00°, β = 124.69°, γ = 90.00°
Space group P2_1/c (No. 14)
Asymmetric unit:
Cs (0.2320, 0.0620, 0.2504) [4 per cell]
Y (0.5000, 0.0000, 0.0000) [2 per cell]
In (0.0000, 0.0000, 0.5000) [2 per cell]
Br (0.1834, 0.1843, 0.9611) [4 per cell]
Br (0.2780, 0.7264, 0.9598) [4 per cell]
Br (0.3470, 0.0164, 0.7690) [4 per cell]

Computed properties:
**Crystal system**: monoclinic

***

Computed, not measured: an optimized crystal structure of Cs2YInBr6 at the PBE level of DFT.

a = 11.9736 Å, b = 11.9736 Å, c = 11.9736 Å
α = 90.00°, β = 90.00°, γ = 90.00°
Space group Fm-3m (No. 225)
Asymmetric unit:
Cs (0.2500, 0.2500, 0.2500) [8 per cell]
Y (0.0000, 0.0000, 0.0000) [4 per cell]
In (0.0000, 0.0000, 0.5000) [4 per cell]
Br (0.0000, 0.0000, 0.2342) [24 per cell]

Computed properties:
**Crystal system**: cubic

***

Computed, not measured: an optimized crystal structure of CsZnInBr4 at the PBE level of DFT.

a = 7.2779 Å, b = 7.7443 Å, c = 10.1922 Å
α = 90.00°, β = 110.22°, γ = 90.00°
Space group P2_1/m (No. 11)
Asymmetric unit:
Cs (0.2034, 0.2500, 0.4199) [2 per cell]
Zn (0.2981, 0.7500, 0.1985) [2 per cell]
In (0.2893, 0.2500, 0.9653) [2 per cell]
Br (0.0875, 0.7500, 0.3403) [2 per cell]
Br (0.1020, 0.7500, 0.9505) [2 per cell]
Br (0.4894, 0.5025, 0.7464) [4 per cell]

Computed properties:
**Crystal system**: monoclinic

***

Computed, not measured: an optimized crystal structure of Cs2Zn2InBr6 at the PBE level of DFT.

a = 13.9250 Å, b = 8.0442 Å, c = 9.2894 Å
α = 90.00°, β = 120.98°, γ = 90.00°
Space group C2/m (No. 12)
Asymmetric unit:
Cs (0.2162, 0.0000, 0.2131) [4 per cell]
Zn (0.0289, 0.5000, 0.1541) [4 per cell]
In (0.0000, 0.0000, 0.5000) [2 per cell]
Br (0.0543, 0.2475, 0.8046) [8 per cell]
Br (0.2329, 0.5000, 0.3486) [4 per cell]

Computed properties:
**Crystal system**: monoclinic

***

Computed, not measured: an optimized crystal structure of CsZnInBr2 at the PBE level of DFT.

a = 6.1634 Å, b = 6.1634 Å, c = 5.2090 Å
α = 90.00°, β = 90.00°, γ = 90.00°
Space group P4/mmm (No. 123)
Asymmetric unit:
Cs (0.0000, 0.0000, 0.0000) [1 per cell]
Zn (0.5000, 0.5000, 0.0000) [1 per cell]
In (0.5000, 0.5000, 0.5000) [1 per cell]
Br (0.0000, 0.5000, 0.5000) [2 per cell]

Computed properties:
**Crystal system**: tetragonal

***

Computed, not measured: an optimized crystal structure of Cs2ZnInBr6 at the PBE level of DFT.

a = 7.8406 Å, b = 7.8406 Å, c = 11.1461 Å
α = 90.00°, β = 90.00°, γ = 90.00°
Space group I4/mmm (No. 139)
Asymmetric unit:
Cs (0.0000, 0.5000, 0.2500) [4 per cell]
Zn (0.0000, 0.0000, 0.0000) [2 per cell]
In (0.0000, 0.0000, 0.5000) [2 per cell]
Br (0.0000, 0.0000, 0.2421) [4 per cell]
Br (0.2412, 0.2412, 0.0000) [8 per cell]

Computed properties:
**Crystal system**: tetragonal

***

Computed, not measured: an optimized crystal structure of CsZrInBr6 at the PBE level of DFT.

a = 7.9747 Å, b = 7.9747 Å, c = 14.7657 Å
α = 90.00°, β = 90.00°, γ = 120.00°
Space group P-31c (No. 163)
Asymmetric unit:
Cs (0.0000, 0.0000, 0.0000) [2 per cell]
Zr (0.3333, 0.6667, 0.2500) [2 per cell]
In (0.3333, 0.6667, 0.7500) [2 per cell]
Br (0.0563, 0.3998, 0.1458) [12 per cell]

Computed properties:
**Crystal system**: trigonal

***

Computed, not measured: an optimized crystal structure of Cs2ZrInBr6 at the PBE level of DFT.

a = 8.0547 Å, b = 8.0547 Å, c = 45.3474 Å
α = 90.00°, β = 90.00°, γ = 120.00°
Space group R-3m (No. 166, hexagonal axes)
Asymmetric unit:
Cs (0.0000, 0.0000, 0.1339) [6 per cell]
Cs (0.0000, 0.0000, 0.3044) [6 per cell]
Zr (0.0000, 0.0000, 0.0000) [3 per cell]
Zr (0.0000, 0.0000, 0.5000) [3 per cell]
In (0.0000, 0.0000, 0.4189) [6 per cell]
Br (0.0030, 0.5015, 0.1334) [18 per cell]
Br (0.0173, 0.5086, 0.7014) [18 per cell]

Computed properties:
**Crystal system**: trigonal

***

Computed, not measured: an optimized crystal structure of CsZrIn2Br at the PBE level of DFT.

a = 5.6977 Å, b = 5.6977 Å, c = 7.5866 Å
α = 90.00°, β = 90.00°, γ = 90.00°
Space group P4/mmm (No. 123)
Asymmetric unit:
Cs (0.0000, 0.0000, 0.0000) [1 per cell]
Zr (0.0000, 0.0000, 0.5000) [1 per cell]
In (0.0000, 0.5000, 0.5000) [2 per cell]
Br (0.5000, 0.5000, 0.0000) [1 per cell]

Computed properties:
**Crystal system**: tetragonal

***

Computed, not measured: an optimized crystal structure of Cs2ZrInBr6 at the PBE level of DFT.

a = 11.7695 Å, b = 11.7695 Å, c = 11.7695 Å
α = 90.00°, β = 90.00°, γ = 90.00°
Space group Fm-3m (No. 225)
Asymmetric unit:
Cs (0.2500, 0.2500, 0.2500) [8 per cell]
Zr (0.0000, 0.0000, 0.0000) [4 per cell]
In (0.0000, 0.0000, 0.5000) [4 per cell]
Br (0.0000, 0.0000, 0.2308) [24 per cell]

Computed properties:
**Crystal system**: cubic

***

Computed, not measured: an optimized crystal structure of CsIrBr2 at the PBE level of DFT.

a = 7.6402 Å, b = 7.6402 Å, c = 7.6402 Å
α = 90.00°, β = 90.00°, γ = 90.00°
Space group Fm-3m (No. 225)
Asymmetric unit:
Cs (0.0000, 0.0000, 0.0000) [4 per cell]
Ir (0.0000, 0.0000, 0.5000) [4 per cell]
Br (0.2500, 0.2500, 0.2500) [8 per cell]

Computed properties:
**Crystal system**: cubic

***

Computed, not measured: an optimized crystal structure of CsIrBr2 at the PBE level of DFT.

a = 6.5511 Å, b = 6.5511 Å, c = 14.3965 Å
α = 90.00°, β = 90.00°, γ = 90.00°
Space group I-42d (No. 122)
Asymmetric unit:
Cs (0.0000, 0.0000, 0.0000) [4 per cell]
Ir (0.0000, 0.0000, 0.5000) [4 per cell]
Br (0.0986, 0.2500, 0.6250) [8 per cell]

Computed properties:
**Crystal system**: tetragonal

***

Computed, not measured: an optimized crystal structure of CsIrBr2 at the PBE level of DFT.

a = 6.0061 Å, b = 6.0061 Å, c = 21.5455 Å
α = 90.00°, β = 90.00°, γ = 120.00°
Space group R-3m (No. 166, hexagonal axes)
Asymmetric unit:
Cs (0.0000, 0.0000, 0.0000) [3 per cell]
Ir (0.0000, 0.0000, 0.5000) [3 per cell]
Br (0.0000, 0.0000, 0.3894) [6 per cell]

Computed properties:
**Crystal system**: trigonal

***

Computed, not measured: an optimized crystal structure of Cs2IrBr at the PBE level of DFT.

a = 8.8556 Å, b = 8.8556 Å, c = 8.8556 Å
α = 90.00°, β = 90.00°, γ = 90.00°
Space group Fm-3m (No. 225)
Asymmetric unit:
Cs (0.2500, 0.2500, 0.2500) [8 per cell]
Ir (0.0000, 0.0000, 0.0000) [4 per cell]
Br (0.0000, 0.0000, 0.5000) [4 per cell]

Computed properties:
**Crystal system**: cubic

***

Computed, not measured: an optimized crystal structure of Cs3IrBr at the PBE level of DFT.

a = 6.1994 Å, b = 6.1994 Å, c = 6.1994 Å
α = 90.00°, β = 90.00°, γ = 90.00°
Space group Pm-3m (No. 221)
Asymmetric unit:
Cs (0.0000, 0.0000, 0.5000) [3 per cell]
Ir (0.0000, 0.0000, 0.0000) [1 per cell]
Br (0.5000, 0.5000, 0.5000) [1 per cell]

Computed properties:
**Crystal system**: cubic

***

Computed, not measured: an optimized crystal structure of Cs2LiIrBr6 at the PBE level of DFT.

a = 7.6323 Å, b = 7.6323 Å, c = 10.8166 Å
α = 90.00°, β = 90.00°, γ = 90.00°
Space group I4/mmm (No. 139)
Asymmetric unit:
Cs (0.0000, 0.5000, 0.2500) [4 per cell]
Li (0.0000, 0.0000, 0.0000) [2 per cell]
Ir (0.0000, 0.0000, 0.5000) [2 per cell]
Br (0.0000, 0.0000, 0.2655) [4 per cell]
Br (0.2350, 0.2350, 0.5000) [8 per cell]

Computed properties:
**Crystal system**: tetragonal

***

In order of appearance, VASP energy = -2.951 -2.905 -3.539 -3.568 -3.898 -3.715 -3.744 -3.726 -2.768 -2.632 -2.446 -2.762 -3.819 -3.676 -3.031 -3.671 -2.800 -3.420 -3.359 -2.918 -2.718 -3.338 eV per atom.